Material: La12NdIn3
Method: DFT, PBE
State: relaxed

Properties
Space-group type: No. 123
N(E_F) (states/eV/cell): 23.6
Crystal system: tetragonal
Energy of formation (eV per atom): -0.22
Magnetic moment (μB per formula unit): 0.00

a b c (Å): 5.093 5.093 20.602
angles (deg): 90.00 90.00 90.00
Element x y z (fractional)
La1 0.000 0.000 0.000
La2 0.000 0.000 0.244
La3 0.000 0.000 0.500
La4 0.000 0.000 0.756
La5 0.000 0.500 0.123
La6 0.000 0.500 0.369
La7 0.000 0.500 0.631
La8 0.000 0.500 0.877
La9 0.500 0.000 0.123
La10 0.500 0.000 0.369
La11 0.500 0.000 0.631
La12 0.500 0.000 0.877
Nd1 0.500 0.500 0.500
In1 0.500 0.500 0.000
In2 0.500 0.500 0.245
In3 0.500 0.500 0.755